Record 1
Material: La2NdBrO4
Method: DFT, PBE
State: relaxed

Unit cell a=4.0941 b=4.0941 c=9.5618 alpha=90.00 beta=90.00 gamma=90.00
Last column: nearest neighbours and their distance in Å.
Space group P4/mmm (No. 123)
Inequivalent atoms, fractional coordinates:
La 0.0000 0.0000 0.2401 [2 per cell]  4 O 2.29
Nd 0.5000 0.5000 0.5000 [1 per cell]  8 O 2.51
Br 0.5000 0.5000 0.0000 [1 per cell]  8 La 3.69, 8 O 3.91, 4 Br 4.09
O 0.0000 0.5000 0.3484 [4 per cell]  2 La 2.29, 2 Nd 2.51

Computed properties:
DOS at the Fermi energy ... 0.00 states/eV/f.u.
ρ ... 5.9 g cm⁻³
Total energy ... -7.74 eV/atom
ΔE_f (raw) ... -3.2230 eV/atom
Size of the total moment ... 0.0 μB/f.u.

Record 2
Material: LaNdPbBr
Method: DFT, PBE
State: relaxed

Unit cell a=7.8173 b=7.8173 c=7.8173 alpha=90.00 beta=90.00 gamma=90.00
Last column: nearest neighbours and their distance in Å.
Space group F-43m (No. 216)
Inequivalent atoms, fractional coordinates:
La 0.0000 0.0000 0.0000 [4 per cell]  4 Pb 3.38, 4 Br 3.38
Nd 0.0000 0.0000 0.5000 [4 per cell]  4 Pb 3.38, 4 Br 3.38
Pb 0.2500 0.2500 0.2500 [4 per cell]  4 Nd 3.38, 4 La 3.38
Br 0.2500 0.2500 0.7500 [4 per cell]  4 La 3.38, 4 Nd 3.38

Computed properties:
DOS at the Fermi energy ... 2.79 states/eV/f.u.
ρ ... 7.9 g cm⁻³
Total energy ... -4.62 eV/atom
ΔE_f (raw) ... -0.8551 eV/atom
Size of the total moment ... 0.0 μB/f.u.

Q: Among the records above, which one has the lowest ρ?
A: La2NdBrO4

Q: Among the records above, which one has the lowest ΔE_f (raw)?
A: La2NdBrO4

Q: Number 2 is which compound?
A: LaNdPbBr